# 1
Below is a relaxed TaNi5 crystal, with properties calculated at the PBE level.

a = 4.6476 Å, b = 4.6476 Å, c = 15.3049 Å
α = 90.00°, β = 90.00°, γ = 120.00°
Last column: nearest neighbours and their distance in Å.
Sites, in units of the cell vectors:
Ta1 0.0000 0.0000 0.9013  15 Ni 2.67-2.81
Ta2 0.0000 0.0000 0.4013  15 Ni 2.67-2.81
Ta3 0.0000 0.0000 0.0987  15 Ni 2.67-2.81
Ta4 0.0000 0.0000 0.5987  15 Ni 2.67-2.81
Ni1 0.3333 0.6667 0.1254  6 Ni 2.34
Ni2 0.5000 0.5000 0.0000  6 Ni 2.32-2.34
Ni3 0.0000 0.5000 0.0000  6 Ni 2.32-2.34
Ni4 0.5000 0.0000 0.0000  6 Ni 2.32-2.34
Ni5 0.5000 0.5000 0.5000  6 Ni 2.32-2.34
Ni6 0.1643 0.8357 0.2500  6 Ni 2.29-2.36
Ni7 0.0000 0.5000 0.5000  6 Ni 2.32-2.34
Ni8 0.3286 0.1643 0.7500  6 Ni 2.29-2.36
Ni9 0.3333 0.6667 0.3746  6 Ni 2.34
Ni10 0.3333 0.6667 0.6535  13 Ni 2.71-2.95, 3 Ta 2.81
Ni11 0.6667 0.3333 0.6254  6 Ni 2.34
Ni12 0.6667 0.3333 0.8746  6 Ni 2.34
Ni13 0.6667 0.3333 0.3465  13 Ni 2.71-2.95, 3 Ta 2.81
Ni14 0.8357 0.6714 0.7500  6 Ni 2.29-2.36
Ni15 0.3333 0.6667 0.8465  13 Ni 2.71-2.95, 3 Ta 2.81
Ni16 0.6667 0.3333 0.1535  13 Ni 2.71-2.95, 3 Ta 2.81
Ni17 0.1643 0.3286 0.2500  6 Ni 2.29-2.36
Ni18 0.8357 0.1643 0.7500  6 Ni 2.29-2.36
Ni19 0.6714 0.8357 0.2500  6 Ni 2.29-2.36
Ni20 0.5000 0.0000 0.5000  6 Ni 2.32-2.34

VASP energy: -162.37 eV per cell
energy relative to the elements: -0.150 eV per atom
M_tot: 0.01 μB per cell

=====

# 2
Below is a relaxed Ta7Ni5 crystal, with properties calculated at the PBE level.

a = 5.1540 Å, b = 5.1540 Å, c = 16.5645 Å
α = 90.00°, β = 90.00°, γ = 120.00°
Last column: nearest neighbours and their distance in Å.
Sites, in units of the cell vectors:
Ta1 0.6667 0.3333 0.3368  7 Ta 2.87-3.09, 6 Ni 2.95
Ta2 0.5000 0.0000 0.0000  6 Ta 2.58-2.77
Ta3 0.5000 0.5000 0.5000  6 Ta 2.58-2.77
Ta4 0.6667 0.3333 0.6412  3 Ni 2.43
Ta5 0.0000 0.5000 0.5000  6 Ta 2.58-2.77
Ta6 0.5000 0.0000 0.5000  6 Ta 2.58-2.77
Ta7 0.5000 0.5000 0.0000  6 Ta 2.58-2.77
Ta8 0.3333 0.6667 0.3588  3 Ni 2.43
Ta9 0.3333 0.6667 0.1412  3 Ni 2.43
Ta10 0.3333 0.6667 0.6632  7 Ta 2.87-3.09, 6 Ni 2.95
Ta11 0.6667 0.3333 0.8588  3 Ni 2.43
Ta12 0.0000 0.5000 0.0000  6 Ta 2.58-2.77
Ta13 0.6667 0.3333 0.1632  7 Ta 2.87-3.09, 6 Ni 2.95
Ta14 0.3333 0.6667 0.8368  7 Ta 2.87-3.09, 6 Ni 2.95
Ni1 0.0000 0.0000 0.4125  4 Ni 2.90-3.01, 12 Ta 2.96-3.23
Ni2 0.1511 0.3022 0.2500  2 Ni 2.34, 2 Ta 2.43
Ni3 0.8489 0.6978 0.7500  2 Ni 2.34, 2 Ta 2.43
Ni4 0.8489 0.1511 0.7500  2 Ni 2.34, 2 Ta 2.43
Ni5 0.3022 0.1511 0.7500  2 Ni 2.34, 2 Ta 2.43
Ni6 0.6978 0.8489 0.2500  2 Ni 2.34, 2 Ta 2.43
Ni7 0.1511 0.8489 0.2500  2 Ni 2.34, 2 Ta 2.43
Ni8 0.0000 0.0000 0.0875  4 Ni 2.90-3.01, 12 Ta 2.96-3.23
Ni9 0.0000 0.0000 0.5875  4 Ni 2.90-3.01, 12 Ta 2.96-3.23
Ni10 0.0000 0.0000 0.9125  4 Ni 2.90-3.01, 12 Ta 2.96-3.23

energy relative to the lowest polymorph listed for this composition: 264.7 meV per atom
VASP energy: -215.63 eV per cell
energy relative to the elements: 0.249 eV per atom
M_tot: 0.04 μB per cell

=====

# 3
Below is a relaxed Ta4Ni9 crystal, with properties calculated at the PBE level.

a = 8.9320 Å, b = 8.9320 Å, c = 8.9320 Å
α = 31.19°, β = 31.19°, γ = 31.19°
Last column: nearest neighbours and their distance in Å.
Sites, in units of the cell vectors:
Ni1 0.0000 0.0000 0.0000  6 Ni 2.35
Ni2 0.5895 0.0937 0.0937  6 Ni 2.35-2.62, 2 Ta 2.58
Ni3 0.9063 0.4105 0.9063  6 Ni 2.35-2.62, 2 Ta 2.58
Ni4 0.0937 0.5895 0.0937  6 Ni 2.35-2.62, 2 Ta 2.58
Ni5 0.6536 0.6536 0.6536  1 Ta 2.51, 6 Ni 2.62-2.79
Ni6 0.3464 0.3464 0.3464  1 Ta 2.51, 6 Ni 2.62-2.79
Ni7 0.9063 0.9063 0.4105  6 Ni 2.35-2.62, 2 Ta 2.58
Ni8 0.4105 0.9063 0.9063  6 Ni 2.35-2.62, 2 Ta 2.58
Ni9 0.0937 0.0937 0.5895  6 Ni 2.35-2.62, 2 Ta 2.58
Ta1 0.5549 0.5549 0.5549  7 Ni 2.51-2.58, 1 Ta 2.79
Ta2 0.4451 0.4451 0.4451  7 Ni 2.51-2.58, 1 Ta 2.79
Ta3 0.8347 0.8347 0.8347  6 Ni 2.71-2.75, 3 Ta 2.77
Ta4 0.1653 0.1653 0.1653  6 Ni 2.71-2.75, 3 Ta 2.77

energy relative to the lowest polymorph listed for this composition: 68.4 meV per atom
VASP energy: -99.67 eV per cell
energy relative to the elements: -0.165 eV per atom
M_tot: 0.03 μB per cell

=====

Q: M_tot of number 1 (TaNi5)?
A: 0.01 μB per cell